1.
Below is a relaxed MnIr crystal, with properties calculated at the PBE-GGA level.

Geometry as CIF:
```
data_MnIr
_chemical_formula_sum 'Mn8 Ir8'
_space_group_name_H-M_alt 'I 4/m'
_space_group_IT_number 87
_space_group_name_Hall '-I 4'
_cell_length_a 9.706
_cell_length_b 9.706
_cell_length_c 2.733
_cell_angle_alpha 90.00
_cell_angle_beta 90.00
_cell_angle_gamma 90.00
loop_
_atom_site_label
_atom_site_type_symbol
_atom_site_fract_x
_atom_site_fract_y
_atom_site_fract_z
Mn1 Mn 0.121 0.819 0.000
Ir1 Ir 0.085 0.354 0.000
```

Computed properties:
DFT total energy   -8.701 eV/atom
Energy relative to the elements   0.3139 eV per atom

2.
Below is a relaxed Mn3Ir4 crystal, with properties calculated at the PBE-GGA level.

Geometry as CIF:
```
data_Mn3Ir4
_chemical_formula_sum 'Mn6 Ir8'
_space_group_name_H-M_alt 'I 4/m m m'
_space_group_IT_number 139
_space_group_name_Hall '-I 4 2'
_cell_length_a 3.144
_cell_length_b 3.144
_cell_length_c 19.598
_cell_angle_alpha 90.00
_cell_angle_beta 90.00
_cell_angle_gamma 90.00
loop_
_atom_site_label
_atom_site_type_symbol
_atom_site_fract_x
_atom_site_fract_y
_atom_site_fract_z
Mn1 Mn 0.000 0.000 0.000
Mn2 Mn 0.000 0.000 0.285
Ir1 Ir 0.000 0.000 0.155
Ir2 Ir 0.000 0.000 0.430
```

Computed properties:
Offset from the most stable computed form   24 meV/atom
DFT total energy   -8.869 eV/atom
Energy relative to the elements   0.1238 eV per atom

3.
Below is a relaxed MnIr crystal, with properties calculated at the PBE-GGA level.

Geometry as CIF:
```
data_MnIr
_chemical_formula_sum 'Mn1 Ir1'
_space_group_name_H-M_alt 'P 4/m m m'
_space_group_IT_number 123
_space_group_name_Hall '-P 4 2'
_cell_length_a 2.666
_cell_length_b 2.666
_cell_length_c 3.659
_cell_angle_alpha 90.00
_cell_angle_beta 90.00
_cell_angle_gamma 90.00
loop_
_atom_site_label
_atom_site_type_symbol
_atom_site_fract_x
_atom_site_fract_y
_atom_site_fract_z
Mn1 Mn 0.000 0.000 0.000
Ir1 Ir 0.500 0.500 0.500
```

Computed properties:
DFT total energy   -9.145 eV/atom
Energy relative to the elements   -0.1299 eV per atom

> What is the formula in the second record?

Mn3Ir4

> Which of these has the lowest energy relative to the elements?

number 3